# TaCd2Ag

An optimized crystal structure of TaCd2Ag (PBE-GGA, Alexandria).

Relative energy among the computed polymorphs, eV/atom: 0.1331
ΔH_f (0 K), meV/atom: 283

Unit cell a=5.468 b=5.468 c=2.795 alpha=90.03 beta=90.03 gamma=111.20
Sites, in units of the cell vectors:
Cd1 0.500 0.500 0.000
Cd2 0.000 0.000 0.000
Ta1 0.500 0.000 0.500
Ag1 0.000 0.500 0.500